Entry i
DFT (PBE) results for CaSnPd4 after structural relaxation.

Results
DOS(E_F) = 2.66 states/eV per cell

Cell lengths 5.150, 5.150, 6.364 Å; angles 107.95, 107.95, 42.87 degrees
Sites, in units of the cell vectors:
1 Ca 0.000 0.000 0.000
2 Sn 0.000 0.000 0.500
3 Pd 0.329 0.329 0.187
4 Pd 0.340 0.340 0.649
5 Pd 0.660 0.660 0.351
6 Pd 0.671 0.671 0.813

***

Entry ii
DFT (PBE) results for CaSnPd4 after structural relaxation.

Results
DOS(E_F) = 5.59 states/eV per cell

Cell lengths 7.921, 4.102, 7.132 Å; angles 90.00, 90.00, 90.00 degrees
Sites, in units of the cell vectors:
1 Ca 0.250 0.000 0.168
2 Ca 0.750 0.000 0.832
3 Sn 0.250 0.000 0.737
4 Sn 0.750 0.000 0.263
5 Pd 0.000 0.000 0.500
6 Pd 0.039 0.500 0.802
7 Pd 0.250 0.500 0.462
8 Pd 0.461 0.500 0.802
9 Pd 0.500 0.000 0.500
10 Pd 0.539 0.500 0.198
11 Pd 0.750 0.500 0.538
12 Pd 0.961 0.500 0.198

***

List of relative energies, unit eV/atom: entry i 0.000; entry ii 0.015

***

Entry i
DFT (PBE) results for CaSn3Pd2 after structural relaxation.

Results
DOS(E_F) = 7.76 states/eV per cell

Cell lengths 8.119, 8.119, 8.119 Å; angles 48.11, 48.11, 48.11 degrees
Sites, in units of the cell vectors:
1 Ca 0.218 0.218 0.218
2 Ca 0.782 0.782 0.782
3 Sn 0.249 0.735 0.735
4 Sn 0.265 0.265 0.751
5 Sn 0.265 0.751 0.265
6 Sn 0.735 0.249 0.735
7 Sn 0.735 0.735 0.249
8 Sn 0.751 0.265 0.265
9 Pd 0.000 0.000 0.000
10 Pd 0.000 0.500 0.500
11 Pd 0.500 0.000 0.500
12 Pd 0.500 0.500 0.000

***

Entry ii
DFT (PBE) results for CaSn3Pd2 after structural relaxation.

Results
DOS(E_F) = 6.24 states/eV per cell

Cell lengths 9.229, 9.229, 11.286 Å; angles 110.62, 110.62, 27.90 degrees
Sites, in units of the cell vectors:
1 Ca 0.000 0.000 0.000
2 Ca 0.160 0.160 0.697
3 Ca 0.840 0.840 0.303
4 Sn 0.033 0.033 0.340
5 Sn 0.216 0.216 0.383
6 Sn 0.321 0.321 0.042
7 Sn 0.379 0.379 0.817
8 Sn 0.500 0.500 0.500
9 Sn 0.621 0.621 0.183
10 Sn 0.679 0.679 0.958
11 Sn 0.784 0.784 0.617
12 Sn 0.967 0.967 0.660
13 Pd 0.197 0.197 0.128
14 Pd 0.365 0.365 0.557
15 Pd 0.472 0.472 0.208
16 Pd 0.528 0.528 0.792
17 Pd 0.635 0.635 0.443
18 Pd 0.803 0.803 0.872

***

List of relative energies, unit eV/atom: entry i 0.108; entry ii 0.000